(1)
# Ho6Te3As2Se

A relaxed structure of Ho6Te3As2Se (PBE, Alexandria via LeMat-Bulk).

Summary:
As for the formation energy (no corrections): -1491 meV/atom.

Lattice parameters (Å, degrees): 4.1755 8.5096 9.4927 104.60 102.70 90.00
Closest atoms and distances in Å follow each position.
Element x y z (fractional)
1 Ho 0.6748 0.5643 0.3496  3 As 2.84-2.85, 3 Te 3.14
2 Ho 0.0095 0.2351 0.0190  1 As 2.81, 2 Se 2.87, 3 Te 3.11-3.13
3 Ho 0.3378 0.8945 0.6755  2 As 2.83, 1 Se 2.91, 3 Te 3.11-3.13
4 Ho 0.3252 0.4357 0.6504  3 As 2.84-2.85, 3 Te 3.14
5 Ho 0.9905 0.7649 0.9810  1 As 2.81, 2 Se 2.87, 3 Te 3.11-3.13
6 Ho 0.6622 0.1055 0.3245  2 As 2.83, 1 Se 2.91, 3 Te 3.11-3.13
7 As 0.8333 0.6672 0.6666  6 Ho 2.81-2.85
8 As 0.1667 0.3328 0.3334  6 Ho 2.81-2.85
9 Te 0.1650 0.8330 0.3299  6 Ho 3.11-3.14
10 Te 0.5000 0.5000 0.0000  6 Ho 3.11-3.14
11 Te 0.8350 0.1670 0.6701  6 Ho 3.11-3.14
12 Se 0.5000 0.0000 0.0000  6 Ho 2.87-2.91

=====

(2)
# KSI2Br

A relaxed structure of KSI2Br (PBE, Alexandria via LeMat-Bulk).

Summary:
As for the formation energy (no corrections): 403 meV/atom.

Lattice parameters (Å, degrees): 6.6860 6.1895 6.6860 90.00 90.00 90.00
Closest atoms and distances in Å follow each position.
Element x y z (fractional)
1 Br 0.5000 0.5000 0.5000  8 I 4.56, 4 S 4.73
2 K 0.0000 0.0000 0.0000  2 S 3.09, 4 I 3.34
3 S 0.0000 0.5000 0.0000  2 K 3.09
4 I 0.0000 0.0000 0.5000  2 K 3.34
5 I 0.5000 0.0000 0.0000  2 K 3.34

=====

(3)
# LiBe3Cr

A relaxed structure of LiBe3Cr (PBE, Alexandria via LeMat-Bulk).

Summary:
The value obtained for the energy above the most stable polymorph in this dataset is 0.0 meV per atom. The formation enthalpy at 0 K comes out at 4.26 eV per formula unit.

Lattice parameters (Å, degrees): 3.6687 3.6687 3.6687 90.00 90.00 90.00
Closest atoms and distances in Å follow each position.
Element x y z (fractional)
1 Be 0.0000 0.0000 0.5000  2 Li 1.83
2 Be 0.0000 0.5000 0.0000  2 Li 1.83
3 Be 0.5000 0.0000 0.0000  2 Li 1.83
4 Cr 0.5000 0.5000 0.5000  12 Be 2.59
5 Li 0.0000 0.0000 0.0000  6 Be 1.83

=====

Number 1: Fermi-level density of states 4.6 states/eV/f.u., M_tot 0.00 μB per atom. Number 2: Fermi-level density of states 9.4 states/eV/f.u., M_tot 0.80 μB per atom. Number 3: Fermi-level density of states 1.7 states/eV/f.u., M_tot 0.28 μB per atom.